(1)
CaLa2Mo | GGA-PBE | optimized geometry

Cell lengths 11.0222, 11.0222, 11.0222 Å; angles 19.27, 19.27, 19.27 degrees
Atoms (fractional coordinates):
La 0.9810 0.9810 0.9810
La 0.5190 0.5190 0.5190
Mo 0.2500 0.2500 0.2500
Ca 0.7500 0.7500 0.7500

E above lowest polymorph: 0.48 eV/f.u.
symmetry: R-3m (166)
total magnetic moment: 0.00 μB/cell

---

(2)
CaLaMo2 | GGA-PBE | optimized geometry

Cell lengths 5.2461, 5.2461, 6.2317 Å; angles 89.86, 89.86, 31.98 degrees
Atoms (fractional coordinates):
Mo 0.0047 0.0047 0.0434
Mo 0.4953 0.4953 0.4566
La 0.2500 0.2500 0.2500
Ca 0.7500 0.7500 0.7500

E above lowest polymorph: 2.34 eV/f.u.
symmetry: C2/m (12)
total magnetic moment: 0.00 μB/cell

---

(3)
CaLa2Mo2 | GGA-PBE | optimized geometry

Cell lengths 3.6977, 3.6977, 11.7278 Å; angles 80.93, 80.93, 90.00 degrees
Last column: magnetic moment on the atom in μB.
Atoms (fractional coordinates):
Ca 0.0000 0.0000 0.0000  0.10
La 0.6374 0.6374 0.7253  0.17
La 0.3626 0.3626 0.2747  0.17
Mo 0.2500 0.7500 0.5000  0.07
Mo 0.7500 0.2500 0.5000  0.07

E above lowest polymorph: 0.00 eV/f.u.
symmetry: I4/mmm (139)
total magnetic moment: 1.57 μB/cell

---

(4)
CaLa2Mo | GGA-PBE | optimized geometry

Cell lengths 5.4021, 5.4021, 5.4021 Å; angles 60.00, 60.00, 60.00 degrees
Last column: magnetic moment on the atom in μB.
Atoms (fractional coordinates):
Ca 0.5000 0.5000 0.5000  0.00
La 0.0000 0.0000 0.0000  -0.05
La 0.2500 0.2500 0.2500  -0.08
Mo 0.7500 0.7500 0.7500  0.57

E above lowest polymorph: 1.26 eV/f.u.
symmetry: F-43m (216)
total magnetic moment: 0.47 μB/cell

---

(5)
CaLa2Mo | GGA-PBE | optimized geometry

Cell lengths 3.4143, 3.4143, 11.2400 Å; angles 90.00, 90.00, 114.33 degrees
Atoms (fractional coordinates):
La 0.5000 0.5000 0.3093
La 0.0000 0.0000 0.0034
Ca 0.5000 0.5000 0.7018
Mo 0.0000 0.0000 0.4854

E above lowest polymorph: 0.77 eV/f.u.
symmetry: Cmm2 (35)
total magnetic moment: 0.00 μB/cell

---

(6)
CaLaMo2 | GGA-PBE | optimized geometry

Cell lengths 5.9359, 5.9359, 2.8512 Å; angles 89.76, 89.76, 120.58 degrees
Atoms (fractional coordinates):
Ca 0.5000 0.0000 0.5000
Mo 0.0000 0.0000 0.0000
Mo 0.5000 0.5000 0.0000
La 0.0000 0.5000 0.5000

E above lowest polymorph: 2.04 eV/f.u.
symmetry: C2/m (12)
total magnetic moment: 0.00 μB/cell

---

(7)
CaLa2Mo | GGA-PBE | optimized geometry

Cell lengths 6.7352, 6.7352, 6.0697 Å; angles 63.21, 63.21, 30.48 degrees
Atoms (fractional coordinates):
Ca 0.2500 0.2500 0.2500
La 0.4439 0.4439 0.5561
La 0.0561 0.0561 0.9439
Mo 0.7500 0.7500 0.7500

E above lowest polymorph: 0.37 eV/f.u.
symmetry: Immm (71)
total magnetic moment: 0.00 μB/cell

---

(8)
Ca4LaMo | GGA-PBE | optimized geometry

Cell lengths 6.7673, 6.7673, 6.7673 Å; angles 60.00, 60.00, 60.00 degrees
Last column: magnetic moment on the atom in μB.
Atoms (fractional coordinates):
Ca 0.3746 0.8763 0.3746  -0.05
Ca 0.3746 0.3746 0.3746  -0.05
Ca 0.3746 0.3746 0.8763  -0.05
Ca 0.8763 0.3746 0.3746  -0.05
Mo 0.0000 0.0000 0.0000  3.30
La 0.7500 0.7500 0.7500  -0.32

VASP energy: -18.7 eV for the cell shown
symmetry: F-43m (216)
total magnetic moment: 2.99 μB/cell

---

- What is the total magnetic moment in the second record?
  0.00 μB/cell

---

What did the eighth record say?
Ca4LaMo | GGA-PBE | optimized geometry

Cell lengths 6.7673, 6.7673, 6.7673 Å; angles 60.00, 60.00, 60.00 degrees
Last column: magnetic moment on the atom in μB.
Atoms (fractional coordinates):
Ca 0.3746 0.8763 0.3746  -0.05
Ca 0.3746 0.3746 0.3746  -0.05
Ca 0.3746 0.3746 0.8763  -0.05
Ca 0.8763 0.3746 0.3746  -0.05
Mo 0.0000 0.0000 0.0000  3.30
La 0.7500 0.7500 0.7500  -0.32

VASP energy: -18.7 eV for the cell shown
symmetry: F-43m (216)
total magnetic moment: 2.99 μB/cell

---

- What is the total magnetic moment in the eighth record?
  2.99 μB/cell